Below is crystalline PrHfSb3 at its relaxed geometry, with properties calculated at the PBE level.

Calculated values
Calculated total energy   -122.54 eV/cell
Formation energy (no corrections)   -0.71 eV per atom

Geometry as CIF:
```
data_PrHfSb3
_chemical_formula_sum 'Pr4 Hf4 Sb12'
_cell_length_a 13.5830
_cell_length_b 6.4046
_cell_length_c 6.3939
_cell_angle_alpha 90.00
_cell_angle_beta 90.00
_cell_angle_gamma 90.00
_symmetry_space_group_name_H-M 'P b c m'
_symmetry_Int_Tables_number 57
loop_
_symmetry_equiv_pos_as_xyz
'x,y,z'
'-x,-y,-z'
'-x,-y,z+1/2'
'x,y,-z+1/2'
'x,-y+1/2,-z'
'-x,y+1/2,z'
'-x,y+1/2,-z+1/2'
'x,-y+1/2,z+1/2'
loop_
_atom_site_label
_atom_site_type_symbol
_atom_site_fract_x
_atom_site_fract_y
_atom_site_fract_z
Pr1 Pr 0.1814 0.0105 0.2500
Hf1 Hf 0.4106 0.7500 0.0000
Sb1 Sb 0.0030 0.7500 0.0000
Sb2 Sb 0.2658 0.5093 0.2500
Sb3 Sb 0.4202 0.1220 0.2500
```

---

Below is crystalline PrHfSb2 at its relaxed geometry, with properties calculated at the PBE level.

Calculated values
Calculated total energy   -70.67 eV/cell
Formation energy (no corrections)   -0.14 eV per atom

Geometry as CIF:
```
data_PrHfSb2
_chemical_formula_sum 'Pr3 Hf3 Sb6'
_cell_length_a 3.8211
_cell_length_b 3.8211
_cell_length_c 30.5129
_cell_angle_alpha 90.00
_cell_angle_beta 90.00
_cell_angle_gamma 120.00
_symmetry_space_group_name_H-M 'R -3 m'
_symmetry_Int_Tables_number 166
_symmetry_space_group_name_Hall '-R 3 2"'
loop_
_atom_site_label
_atom_site_type_symbol
_atom_site_fract_x
_atom_site_fract_y
_atom_site_fract_z
Pr1 Pr 0.0000 0.0000 0.0000
Hf1 Hf 0.0000 0.0000 0.5000
Sb1 Sb 0.0000 0.0000 0.1043
```

---

Below is crystalline PrHfSb2 at its relaxed geometry, with properties calculated at the PBE level.

Calculated values
Calculated total energy   -77.90 eV/cell
Formation energy (no corrections)   -0.75 eV per atom

Geometry as CIF:
```
data_PrHfSb2
_chemical_formula_sum 'Pr3 Hf3 Sb6'
_cell_length_a 4.2429
_cell_length_b 4.2429
_cell_length_c 22.1682
_cell_angle_alpha 90.00
_cell_angle_beta 90.00
_cell_angle_gamma 120.00
_symmetry_space_group_name_H-M 'R 3 m'
_symmetry_Int_Tables_number 160
_symmetry_space_group_name_Hall 'R 3 -2"'
loop_
_atom_site_label
_atom_site_type_symbol
_atom_site_fract_x
_atom_site_fract_y
_atom_site_fract_z
Pr1 Pr 0.0000 0.0000 0.0000
Hf1 Hf 0.0000 0.0000 0.8278
Sb1 Sb 0.0000 0.0000 0.2371
Sb2 Sb 0.0000 0.0000 0.4249
```

---

Below is crystalline PrHfSb2 at its relaxed geometry, with properties calculated at the PBE level.

Calculated values
Calculated total energy   -78.33 eV/cell
Formation energy (no corrections)   -0.78 eV per atom

Geometry as CIF:
```
data_PrHfSb2
_chemical_formula_sum 'Pr3 Hf3 Sb6'
_cell_length_a 4.3006
_cell_length_b 4.3006
_cell_length_c 21.3593
_cell_angle_alpha 90.00
_cell_angle_beta 90.00
_cell_angle_gamma 120.00
_symmetry_space_group_name_H-M 'R -3 m'
_symmetry_Int_Tables_number 166
_symmetry_space_group_name_Hall '-R 3 2"'
loop_
_atom_site_label
_atom_site_type_symbol
_atom_site_fract_x
_atom_site_fract_y
_atom_site_fract_z
Pr1 Pr 0.0000 0.0000 0.0000
Hf1 Hf 0.0000 0.0000 0.5000
Sb1 Sb 0.0000 0.0000 0.2403
```

---

Below is crystalline Pr2HfSb4 at its relaxed geometry, with properties calculated at the PBE level.

Calculated values
Calculated total energy   -40.72 eV/cell
Formation energy (no corrections)   -0.67 eV per atom

Geometry as CIF:
```
data_Pr2HfSb4
_chemical_formula_sum 'Pr2 Hf1 Sb4'
_cell_length_a 4.3442
_cell_length_b 4.3442
_cell_length_c 11.3054
_cell_angle_alpha 90.00
_cell_angle_beta 90.00
_cell_angle_gamma 90.00
_symmetry_space_group_name_H-M 'P -4 m 2'
_symmetry_Int_Tables_number 115
loop_
_symmetry_equiv_pos_as_xyz
'x,y,z'
'y,-x,-z'
'-x,-y,z'
'-y,x,-z'
'-x,y,z'
'-y,-x,-z'
'x,-y,z'
'y,x,-z'
loop_
_atom_site_label
_atom_site_type_symbol
_atom_site_fract_x
_atom_site_fract_y
_atom_site_fract_z
Pr1 Pr 0.0000 0.5000 0.2220
Hf1 Hf 0.0000 0.0000 0.5000
Sb1 Sb 0.0000 0.0000 0.0000
Sb2 Sb 0.0000 0.5000 0.6635
Sb3 Sb 0.5000 0.5000 0.0000
```

---

Below is crystalline Pr2HfSc at its relaxed geometry, with properties calculated at the PBE level.

Calculated values
Energy of formation   173 meV/atom
Calculated total energy   -25.15 eV/cell

Geometry as CIF:
```
data_Pr2HfSc
_chemical_formula_sum 'Pr2 Hf1 Sc1'
_cell_length_a 3.4721
_cell_length_b 3.4721
_cell_length_c 9.5442
_cell_angle_alpha 90.00
_cell_angle_beta 90.00
_cell_angle_gamma 90.00
_symmetry_space_group_name_H-M 'P 4/m m m'
_symmetry_Int_Tables_number 123
_symmetry_space_group_name_Hall '-P 4 2'
loop_
_atom_site_label
_atom_site_type_symbol
_atom_site_fract_x
_atom_site_fract_y
_atom_site_fract_z
Pr1 Pr 0.0000 0.0000 0.2433
Hf1 Hf 0.5000 0.5000 0.0000
Sc1 Sc 0.5000 0.5000 0.5000
```

---

Below is crystalline Pr2HfSc at its relaxed geometry, with properties calculated at the PBE level.

Calculated values
Energy of formation   186 meV/atom
Calculated total energy   -25.10 eV/cell

Geometry as CIF:
```
data_Pr2HfSc
_chemical_formula_sum 'Pr2 Hf1 Sc1'
_cell_length_a 4.9206
_cell_length_b 4.9206
_cell_length_c 4.7378
_cell_angle_alpha 90.00
_cell_angle_beta 90.00
_cell_angle_gamma 90.00
_symmetry_space_group_name_H-M 'P 4/m m m'
_symmetry_Int_Tables_number 123
_symmetry_space_group_name_Hall '-P 4 2'
loop_
_atom_site_label
_atom_site_type_symbol
_atom_site_fract_x
_atom_site_fract_y
_atom_site_fract_z
Pr1 Pr 0.0000 0.5000 0.0000
Hf1 Hf 0.0000 0.0000 0.5000
Sc1 Sc 0.5000 0.5000 0.5000
```

---

Below is crystalline PrHfSc at its relaxed geometry, with properties calculated at the PBE level.

Calculated values
Energy of formation   128 meV/atom
Calculated total energy   -41.36 eV/cell

Geometry as CIF:
```
data_PrHfSc
_chemical_formula_sum 'Pr2 Hf2 Sc2'
_cell_length_a 3.2810
_cell_length_b 3.2810
_cell_length_c 15.0238
_cell_angle_alpha 90.00
_cell_angle_beta 90.00
_cell_angle_gamma 90.00
_symmetry_space_group_name_H-M 'I 4 m m'
_symmetry_Int_Tables_number 107
_symmetry_space_group_name_Hall 'I 4 -2'
loop_
_atom_site_label
_atom_site_type_symbol
_atom_site_fract_x
_atom_site_fract_y
_atom_site_fract_z
Pr1 Pr 0.0000 0.0000 0.0000
Hf1 Hf 0.0000 0.0000 0.3268
Sc1 Sc 0.0000 0.0000 0.6869
```

---

Below is crystalline Pr2HfSc at its relaxed geometry, with properties calculated at the PBE level.

Calculated values
Energy of formation   385 meV/atom
Calculated total energy   -72.91 eV/cell

Geometry as CIF:
```
data_Pr2HfSc
_chemical_formula_sum 'Pr6 Hf3 Sc3'
_cell_length_a 3.3290
_cell_length_b 3.3290
_cell_length_c 36.1591
_cell_angle_alpha 90.00
_cell_angle_beta 90.00
_cell_angle_gamma 120.00
_symmetry_space_group_name_H-M 'R -3 m'
_symmetry_Int_Tables_number 166
_symmetry_space_group_name_Hall '-R 3 2"'
loop_
_atom_site_label
_atom_site_type_symbol
_atom_site_fract_x
_atom_site_fract_y
_atom_site_fract_z
Pr1 Pr 0.0000 0.0000 0.0870
Hf1 Hf 0.0000 0.0000 0.0000
Sc1 Sc 0.0000 0.0000 0.5000
```

---

Below is crystalline PrHfSc at its relaxed geometry, with properties calculated at the PBE level.

Calculated values
Energy of formation   157 meV/atom
Calculated total energy   -20.59 eV/cell

Geometry as CIF:
```
data_PrHfSc
_chemical_formula_sum 'Pr1 Hf1 Sc1'
_cell_length_a 3.3485
_cell_length_b 3.3485
_cell_length_c 8.2487
_cell_angle_alpha 90.00
_cell_angle_beta 90.00
_cell_angle_gamma 120.00
_symmetry_space_group_name_H-M 'P 3 m 1'
_symmetry_Int_Tables_number 156
loop_
_symmetry_equiv_pos_as_xyz
'x,y,z'
'-y,x-y,z'
'-x+y,-x,z'
'-y,-x,z'
'-x+y,y,z'
'x,x-y,z'
loop_
_atom_site_label
_atom_site_type_symbol
_atom_site_fract_x
_atom_site_fract_y
_atom_site_fract_z
Pr1 Pr 0.0000 0.0000 0.0000
Hf1 Hf 0.6667 0.3333 0.3330
Sc1 Sc 0.3333 0.6667 0.6314
```

---

Below is crystalline PrTmHfSc at its relaxed geometry, with properties calculated at the PBE level.

Calculated values
Energy of formation   248 meV/atom
Calculated total energy   -98.17 eV/cell

Geometry as CIF:
```
data_PrTmHfSc
_chemical_formula_sum 'Pr4 Tm4 Hf4 Sc4'
_cell_length_a 7.5963
_cell_length_b 7.5963
_cell_length_c 7.5963
_cell_angle_alpha 90.00
_cell_angle_beta 90.00
_cell_angle_gamma 90.00
_symmetry_space_group_name_H-M 'F -4 3 m'
_symmetry_Int_Tables_number 216
_symmetry_space_group_name_Hall 'F -4 2 3'
loop_
_atom_site_label
_atom_site_type_symbol
_atom_site_fract_x
_atom_site_fract_y
_atom_site_fract_z
Pr1 Pr 0.0000 0.0000 0.0000
Tm1 Tm 0.2500 0.2500 0.2500
Hf1 Hf 0.0000 0.0000 0.5000
Sc1 Sc 0.2500 0.2500 0.7500
```

---

Below is crystalline Pr2HfSe4 at its relaxed geometry, with properties calculated at the PBE level.

Calculated values
Calculated total energy   -87.30 eV/cell
Formation energy (no corrections)   -1.46 eV per atom

Geometry as CIF:
```
data_Pr2HfSe4
_chemical_formula_sum 'Pr4 Hf2 Se8'
_cell_length_a 7.2508
_cell_length_b 6.8304
_cell_length_c 8.1225
_cell_angle_alpha 90.00
_cell_angle_beta 105.87
_cell_angle_gamma 90.00
_symmetry_space_group_name_H-M 'P 1 21/m 1'
_symmetry_Int_Tables_number 11
loop_
_symmetry_equiv_pos_as_xyz
'x,y,z'
'-x,-y,-z'
'-x,y+1/2,-z'
'x,-y+1/2,z'
loop_
_atom_site_label
_atom_site_type_symbol
_atom_site_fract_x
_atom_site_fract_y
_atom_site_fract_z
Pr1 Pr 0.2243 0.2500 0.0594
Pr2 Pr 0.2250 0.2500 0.5552
Hf1 Hf 0.2578 0.7500 0.8154
Se1 Se 0.0106 0.5084 0.2542
Se2 Se 0.4513 0.7500 0.6036
Se3 Se 0.4551 0.7500 0.1225
```